Below is a relaxed RbLiMg6O7 crystal, with properties calculated at the PBE-GGA level.

Lattice parameters (Å, degrees): 4.499 4.499 8.529 90.00 90.00 90.00
Positions (direct):
1 Rb 0.000 0.000 0.000
2 Li 0.500 0.500 0.909
3 Mg 0.000 0.000 0.439
4 Mg 0.000 0.500 0.156
5 Mg 0.000 0.500 0.692
6 Mg 0.500 0.000 0.156
7 Mg 0.500 0.000 0.692
8 Mg 0.500 0.500 0.414
9 O 0.000 0.000 0.661
10 O 0.000 0.500 0.389
11 O 0.000 0.500 0.921
12 O 0.500 0.000 0.389
13 O 0.500 0.000 0.921
14 O 0.500 0.500 0.169
15 O 0.500 0.500 0.651

As for the theoretical density: 3.37 Mg/m³. The raw formation energy is -28.57 eV per formula unit. The offset from the most stable computed form comes out at 0.1125 eV per atom. As for the space-group type: P4mm, No. 99. Its final energy is -75.72 eV/f.u.

---

Below is a relaxed BaNa2Mo crystal, with properties calculated at the PBE-GGA level.

Lattice parameters (Å, degrees): 13.094 13.094 13.094 158.80 158.80 30.16
Positions (direct):
1 Ba 0.000 0.000 0.000
2 Ba 0.750 0.250 0.500
3 Na 0.168 0.625 0.043
4 Na 0.375 0.418 0.543
5 Na 0.582 0.125 0.957
6 Na 0.875 0.832 0.457
7 Mo 0.250 0.750 0.500
8 Mo 0.500 0.500 0.000

As for the theoretical density: 3.16 Mg/m³. The offset from the most stable computed form comes out at 0.0466 eV per atom. As for the space-group type: I-42d, No. 122. The formation energy from the elements is 98.46 kJ per mole of atoms. Its final energy is -11.31 eV/f.u.

---

Below is a relaxed Nd2OsPt crystal, with properties calculated at the PBE-GGA level.

Lattice parameters (Å, degrees): 3.518 3.518 7.305 90.00 90.00 90.00
Positions (direct):
1 Nd 0.000 0.000 0.243
2 Nd 0.000 0.000 0.757
3 Os 0.500 0.500 0.000
4 Pt 0.500 0.500 0.500

As for the theoretical density: 12.37 Mg/m³. As for the space-group type: P4/mmm, No. 123. The formation energy from the elements is -45.23 kJ per mole of atoms. Its final energy is -28.68 eV/f.u.

---

Below is a relaxed ZnSeBr2 crystal, with properties calculated at the PBE-GGA level.

Lattice parameters (Å, degrees): 3.811 3.811 8.225 90.00 90.00 90.00
Positions (direct):
1 Zn 0.000 0.000 0.000
2 Se 0.500 0.500 0.085
3 Br 0.000 0.000 0.721
4 Br 0.500 0.500 0.372

As for the theoretical density: 4.23 Mg/m³. The raw formation energy is -0.99 eV per formula unit. The offset from the most stable computed form comes out at 0.1889 eV per atom. As for the space-group type: P4mm, No. 99. Its final energy is -9.10 eV/f.u.

---

Below is a relaxed Li8CdAu2 crystal, with properties calculated at the PBE-GGA level.

Lattice parameters (Å, degrees): 7.078 7.078 4.847 100.53 100.53 115.51
Positions (direct):
1 Li 0.074 0.317 0.601
2 Li 0.236 0.764 0.000
3 Li 0.317 0.074 0.601
4 Li 0.393 0.393 0.192
5 Li 0.607 0.607 0.808
6 Li 0.683 0.926 0.399
7 Li 0.764 0.236 0.000
8 Li 0.926 0.683 0.399
9 Cd 0.000 0.000 0.000
10 Au 0.314 0.686 0.500
11 Au 0.686 0.314 0.500

As for the theoretical density: 4.53 Mg/m³. The offset from the most stable computed form comes out at 0.0473 eV per atom. As for the space-group type: C2/m, No. 12. The formation energy from the elements is -25.88 kJ per mole of atoms. Its final energy is -25.73 eV/f.u.

---

Below is a relaxed Ce3Y3PuS8 crystal, with properties calculated at the PBE-GGA level.

Lattice parameters (Å, degrees): 7.983 7.983 7.983 59.37 59.37 59.37
Positions (direct):
1 Ce 0.000 0.500 0.500
2 Ce 0.500 0.000 0.500
3 Ce 0.500 0.500 0.000
4 Y 0.000 0.000 0.500
5 Y 0.000 0.500 0.000
6 Y 0.500 0.000 0.000
7 Pu 0.500 0.500 0.500
8 S 0.244 0.749 0.749
9 S 0.246 0.246 0.246
10 S 0.251 0.251 0.756
11 S 0.251 0.756 0.251
12 S 0.749 0.244 0.749
13 S 0.749 0.749 0.244
14 S 0.754 0.754 0.754
15 S 0.756 0.251 0.251

As for the theoretical density: 5.56 Mg/m³. The raw formation energy is -30.00 eV per formula unit. As for the space-group type: R-3m, No. 166. Its final energy is -114.54 eV/f.u.

---

Below is a relaxed BaH4Se crystal, with properties calculated at the PBE-GGA level.

Lattice parameters (Å, degrees): 4.999 5.010 5.025 111.15 98.80 111.33
Positions (direct):
1 Ba 0.000 0.000 0.000
2 H 0.169 0.484 0.701
3 H 0.299 0.513 0.830
4 H 0.368 0.915 0.534
5 H 0.478 0.086 0.653
6 Se 0.730 0.501 0.274

As for the theoretical density: 3.54 Mg/m³. As for the space-group type: P1, No. 1. Its final energy is -22.35 eV/f.u.

---

Below is a relaxed TlNi2Sn crystal, with properties calculated at the PBE-GGA level.

Lattice parameters (Å, degrees): 4.555 4.555 4.555 60.00 60.00 60.00
Positions (direct):
1 Tl 0.000 0.000 0.000
2 Ni 0.250 0.250 0.250
3 Ni 0.750 0.750 0.750
4 Sn 0.500 0.500 0.500

As for the theoretical density: 10.95 Mg/m³. As for the space-group type: Fm-3m, No. 225. The formation energy from the elements is 16.56 kJ per mole of atoms. Its final energy is -17.25 eV/f.u.

---

Copy entry 7 word for word.
Below is a relaxed BaH4Se crystal, with properties calculated at the PBE-GGA level.

Lattice parameters (Å, degrees): 4.999 5.010 5.025 111.15 98.80 111.33
Positions (direct):
1 Ba 0.000 0.000 0.000
2 H 0.169 0.484 0.701
3 H 0.299 0.513 0.830
4 H 0.368 0.915 0.534
5 H 0.478 0.086 0.653
6 Se 0.730 0.501 0.274

As for the theoretical density: 3.54 Mg/m³. As for the space-group type: P1, No. 1. Its final energy is -22.35 eV/f.u.